1.
A plane-wave DFT calculation with PBE-GGA was carried out for a relaxed SmTmBi2 crystal.

Unit cell a=4.4957 b=6.3631 c=8.9893 alpha=90.00 beta=90.00 gamma=90.00
Space group Pmmn (No. 59, origin choice 2)
Inequivalent atoms, fractional coordinates:
Sm 0.2500 0.2500 0.1260
Tm 0.2500 0.2500 0.6248
Bi 0.2500 0.7500 0.1310
Bi 0.2500 0.7500 0.6182

Output
uncorrected energy = -5.089 eV per atom
calculated formation energy = -82 kJ per mole of atoms

***

2.
A plane-wave DFT calculation with PBE-GGA was carried out for a relaxed Sm2TmBi3 crystal.

Unit cell a=9.0310 b=12.7809 c=27.1150 alpha=90.00 beta=90.00 gamma=90.00
Space group Fddd (No. 70, origin choice 2)
Inequivalent atoms, fractional coordinates:
Sm 0.1250 0.1250 0.0426
Sm 0.1250 0.1250 0.3739
Tm 0.1250 0.1250 0.5415
Bi 0.1180 0.3750 0.8750
Bi 0.1215 0.3720 0.7095

Output
uncorrected energy = -5.134 eV per atom
calculated formation energy = -84 kJ per mole of atoms

***

3.
A plane-wave DFT calculation with PBE-GGA was carried out for a relaxed SmTm3Bi4 crystal.

Unit cell a=6.3123 b=6.3123 c=6.3123 alpha=90.00 beta=90.00 gamma=90.00
Space group Pm-3m (No. 221)
Inequivalent atoms, fractional coordinates:
Sm 0.0000 0.0000 0.0000
Tm 0.0000 0.5000 0.5000
Bi 0.0000 0.0000 0.5000
Bi 0.5000 0.5000 0.5000

Output
uncorrected energy = -5.022 eV per atom
calculated formation energy = -79 kJ per mole of atoms

***

4.
A plane-wave DFT calculation with PBE-GGA was carried out for a relaxed SmTmBi2 crystal.

Unit cell a=3.5689 b=3.5689 c=35.1200 alpha=90.00 beta=90.00 gamma=120.00
Space group R-3m (No. 166, hexagonal axes)
Inequivalent atoms, fractional coordinates:
Sm 0.0000 0.0000 0.0000
Tm 0.0000 0.0000 0.5000
Bi 0.0000 0.0000 0.4106

Output
uncorrected energy = -4.429 eV per atom
calculated formation energy = -18 kJ per mole of atoms

***

5.
A plane-wave DFT calculation with PBE-GGA was carried out for a relaxed Sm3Y2TmBi6 crystal.

Unit cell a=19.6600 b=4.5143 c=9.0218 alpha=90.00 beta=103.14 gamma=90.00
Space group C2/m (No. 12)
Inequivalent atoms, fractional coordinates:
Sm 0.0000 0.0000 0.0000
Sm 0.1673 0.5000 0.3335
Y 0.1664 0.5000 0.8332
Tm 0.0000 0.0000 0.5000
Bi 0.0007 0.5000 0.7444
Bi 0.1644 0.0000 0.5853
Bi 0.1678 0.0000 0.0806

Output
uncorrected energy = -5.462 eV per atom
calculated formation energy = -86 kJ per mole of atoms

***

6.
A plane-wave DFT calculation with PBE-GGA was carried out for a relaxed SmY3Tm2Bi6 crystal.

Unit cell a=7.7593 b=13.4433 c=7.7556 alpha=90.00 beta=109.48 gamma=90.00
Space group C2/m (No. 12)
Inequivalent atoms, fractional coordinates:
Sm 0.0000 0.0000 0.0000
Y 0.0000 0.1642 0.5000
Y 0.0000 0.5000 0.5000
Tm 0.0000 0.3324 0.0000
Bi 0.2436 0.5000 0.2473
Bi 0.2474 0.3309 0.7502

Output
uncorrected energy = -5.556 eV per atom
calculated formation energy = -83 kJ per mole of atoms

***

7.
A plane-wave DFT calculation with PBE-GGA was carried out for a relaxed Sm3YTm2Bi6 crystal.

Unit cell a=19.6243 b=4.5062 c=9.0057 alpha=90.00 beta=103.13 gamma=90.00
Space group C2/m (No. 12)
Inequivalent atoms, fractional coordinates:
Sm 0.0000 0.0000 0.0000
Sm 0.1661 0.5000 0.3328
Y 0.0000 0.0000 0.5000
Tm 0.1668 0.5000 0.8331
Bi 0.0022 0.5000 0.7479
Bi 0.1658 0.0000 0.5886
Bi 0.1687 0.0000 0.0782

Output
uncorrected energy = -5.276 eV per atom
calculated formation energy = -84 kJ per mole of atoms

***

8.
A plane-wave DFT calculation with PBE-GGA was carried out for a relaxed SmUBi6 crystal.

Unit cell a=4.5316 b=4.6006 c=24.0528 alpha=90.00 beta=90.00 gamma=90.00
Space group Amm2 (No. 38)
Inequivalent atoms, fractional coordinates:
Sm 0.0000 0.0000 0.0000
U 0.5000 0.0000 0.6527
Bi 0.0000 0.0000 0.1354
Bi 0.0000 0.0000 0.3805
Bi 0.0000 0.0000 0.7579
Bi 0.5000 0.0000 0.2549
Bi 0.5000 0.0000 0.5225
Bi 0.5000 0.0000 0.8980

Output
uncorrected energy = -5.004 eV per atom
calculated formation energy = -9 kJ per mole of atoms